(1)
Computed, not measured: a PBEsol-optimized structure of Mg2NiSb at the SCAN level of DFT.

Formation energy without anion corrections ... -0.110 eV per atom
Crystal system ... tetragonal
Total magnetization ... 0.00 μB per cell
Space group ... No. 139
Density of states at the Fermi level ... 1.61 states/eV per cell
Volume ... 70.2 Å³ per cell

a b c (Å): 5.138 5.138 5.138
angles (deg): 133.47 133.47 67.91
Fractional positions:
1 Mg 0.250 0.750 0.500
2 Mg 0.750 0.250 0.500
3 Ni 0.000 0.000 0.000
4 Sb 0.500 0.500 0.000

=====

(2)
Computed, not measured: a PBEsol-optimized structure of LaBrCl at the SCAN level of DFT.

Formation energy without anion corrections ... -2.092 eV per atom
Crystal system ... trigonal
Total magnetization ... 0.01 μB per cell
Space group ... No. 156
Density of states at the Fermi level ... 1.92 states/eV per cell
Volume ... 93.7 Å³ per cell

a b c (Å): 3.961 3.961 6.894
angles (deg): 90.00 90.00 120.00
Fractional positions:
1 La 0.000 0.000 0.000
2 Br 0.667 0.333 0.720
3 Cl 0.333 0.667 0.252

=====

(3)
Computed, not measured: a PBEsol-optimized structure of Rb2GeAu2 at the SCAN level of DFT.

Crystal system ... tetragonal
Formation energy ... 442 meV per atom
Total magnetization ... 0.00 μB per cell
Space group ... No. 139
Density of states at the Fermi level ... 2.83 states/eV per cell
Volume ... 149.9 Å³ per cell

a b c (Å): 7.887 7.887 7.887
angles (deg): 146.36 146.36 48.31
Fractional positions:
1 Rb 0.250 0.750 0.500
2 Rb 0.750 0.250 0.500
3 Ge 0.000 0.000 0.000
4 Au 0.410 0.410 0.000
5 Au 0.590 0.590 0.000

=====

(4)
Computed, not measured: a PBEsol-optimized structure of InTe3Mo3 at the SCAN level of DFT.

Formation energy without anion corrections ... -0.241 eV per atom
Crystal system ... hexagonal
Total magnetization ... 0.00 μB per cell
Space group ... No. 176
Density of states at the Fermi level ... 1.02 states/eV per cell
Volume ... 340.7 Å³ per cell

a b c (Å): 9.291 9.291 4.558
angles (deg): 90.00 90.00 120.00
Fractional positions:
1 In 0.333 0.667 0.250
2 In 0.667 0.333 0.750
3 Te 0.066 0.376 0.750
4 Te 0.311 0.934 0.750
5 Te 0.376 0.311 0.250
6 Te 0.624 0.689 0.750
7 Te 0.689 0.066 0.250
8 Te 0.934 0.624 0.250
9 Mo 0.030 0.177 0.250
10 Mo 0.146 0.970 0.250
11 Mo 0.177 0.146 0.750
12 Mo 0.823 0.854 0.250
13 Mo 0.854 0.030 0.750
14 Mo 0.970 0.823 0.750

=====

(5)
Computed, not measured: a PBEsol-optimized structure of LiCo3O2F6 at the SCAN level of DFT.

Formation energy without anion corrections ... -2.106 eV per atom
Crystal system ... triclinic
Total magnetization ... 9.91 μB per cell
Space group ... No. 2
Volume ... 228.2 Å³ per cell

a b c (Å): 4.447 5.262 9.814
angles (deg): 96.50 90.35 90.57
Fractional positions:
1 Li 0.000 0.000 0.000
2 Li 0.500 0.000 0.500
3 Co 0.000 0.500 0.500
4 Co 0.024 0.274 0.751
5 Co 0.476 0.272 0.257
6 Co 0.500 0.500 0.000
7 Co 0.524 0.728 0.743
8 Co 0.976 0.726 0.249
9 O 0.175 0.475 0.324
10 O 0.321 0.483 0.826
11 O 0.679 0.517 0.174
12 O 0.825 0.525 0.676
13 F 0.170 0.708 0.083
14 F 0.198 0.238 0.576
15 F 0.216 0.982 0.812
16 F 0.281 0.973 0.323
17 F 0.304 0.718 0.569
18 F 0.313 0.215 0.068
19 F 0.687 0.785 0.932
20 F 0.696 0.282 0.431
21 F 0.719 0.027 0.677
22 F 0.784 0.018 0.188
23 F 0.802 0.762 0.424
24 F 0.830 0.292 0.917

=====

(6)
Computed, not measured: a PBEsol-optimized structure of Mn2IrRu at the SCAN level of DFT.

Crystal system ... tetragonal
Formation energy ... -124 meV per atom
Total magnetization ... 3.29 μB per cell
Space group ... No. 139
Density of states at the Fermi level ... 4.22 states/eV per cell
Volume ... 48.9 Å³ per cell

a b c (Å): 4.441 4.441 4.441
angles (deg): 130.93 130.93 71.92
Fractional positions:
1 Mn 0.250 0.750 0.500
2 Mn 0.750 0.250 0.500
3 Ir 0.000 0.000 0.000
4 Ru 0.500 0.500 0.000

=====

(7)
Computed, not measured: a PBEsol-optimized structure of K3LiZn at the SCAN level of DFT.

Crystal system ... cubic
Formation energy ... 421 meV per atom
Total magnetization ... 0.00 μB per cell
Space group ... No. 221
Density of states at the Fermi level ... 4.05 states/eV per cell
Volume ... 291.6 Å³ per cell

a b c (Å): 6.631 6.631 6.631
angles (deg): 90.00 90.00 90.00
Fractional positions:
1 K 0.000 0.000 0.500
2 K 0.000 0.500 0.000
3 K 0.500 0.000 0.000
4 Li 0.000 0.000 0.000
5 Zn 0.500 0.500 0.500

=====

(8)
Computed, not measured: a PBEsol-optimized structure of Li7Fe3CoP6O24 at the SCAN level of DFT.

Formation energy without anion corrections ... -2.307 eV per atom
Crystal system ... trigonal
Total magnetization ... 10.00 μB per cell
Space group ... No. 146
Density of states at the Fermi level ... 8.88 states/eV per cell
Volume ... 434.4 Å³ per cell

a b c (Å): 8.770 8.770 8.770
angles (deg): 56.14 56.14 56.14
Fractional positions:
1 Li 0.000 0.000 0.000
2 Li 0.114 0.752 0.376
3 Li 0.257 0.616 0.873
4 Li 0.376 0.114 0.752
5 Li 0.616 0.873 0.257
6 Li 0.752 0.376 0.114
7 Li 0.873 0.257 0.616
8 Fe 0.175 0.175 0.175
9 Fe 0.678 0.678 0.678
10 Fe 0.878 0.878 0.878
11 Co 0.378 0.378 0.378
12 P 0.003 0.566 0.275
13 P 0.076 0.480 0.779
14 P 0.275 0.003 0.566
15 P 0.480 0.779 0.076
16 P 0.566 0.275 0.003
17 P 0.779 0.076 0.480
18 O 0.060 0.430 0.179
19 O 0.061 0.643 0.812
20 O 0.149 0.907 0.781
21 O 0.176 0.273 0.912
22 O 0.179 0.060 0.430
23 O 0.190 0.568 0.254
24 O 0.212 0.510 0.562
25 O 0.254 0.190 0.568
26 O 0.273 0.912 0.176
27 O 0.430 0.179 0.060
28 O 0.489 0.856 0.520
29 O 0.497 0.829 0.869
30 O 0.510 0.562 0.212
31 O 0.520 0.489 0.856
32 O 0.562 0.212 0.510
33 O 0.568 0.254 0.190
34 O 0.643 0.812 0.061
35 O 0.781 0.149 0.907
36 O 0.812 0.061 0.643
37 O 0.829 0.869 0.497
38 O 0.856 0.520 0.489
39 O 0.869 0.497 0.829
40 O 0.907 0.781 0.149
41 O 0.912 0.176 0.273

=====

(9)
Computed, not measured: a PBEsol-optimized structure of Fe2TcTe at the SCAN level of DFT.

Formation energy without anion corrections ... 0.217 eV per atom
Crystal system ... cubic
Total magnetization ... 5.03 μB per cell
Space group ... No. 216
Density of states at the Fermi level ... 1.75 states/eV per cell
Volume ... 55.3 Å³ per cell

a b c (Å): 4.276 4.276 4.276
angles (deg): 60.00 60.00 60.00
Fractional positions:
1 Fe 0.000 0.000 0.000
2 Fe 0.250 0.250 0.250
3 Tc 0.750 0.750 0.750
4 Te 0.500 0.500 0.500

=====

(10)
Computed, not measured: a PBEsol-optimized structure of SiP2PbO at the SCAN level of DFT.

Formation energy without anion corrections ... 1.140 eV per atom
Crystal system ... tetragonal
Total magnetization ... 0.00 μB per cell
Space group ... No. 123
Density of states at the Fermi level ... 3.22 states/eV per cell
Volume ... 107.1 Å³ per cell

a b c (Å): 5.140 5.140 4.054
angles (deg): 90.00 90.00 90.00
Fractional positions:
1 Si 0.000 0.000 0.000
2 P 0.000 0.500 0.500
3 P 0.500 0.000 0.500
4 Pb 0.500 0.500 0.500
5 O 0.500 0.500 0.000

=====

What did the tenth record say?
Computed, not measured: a PBEsol-optimized structure of SiP2PbO at the SCAN level of DFT.

Formation energy without anion corrections ... 1.140 eV per atom
Crystal system ... tetragonal
Total magnetization ... 0.00 μB per cell
Space group ... No. 123
Density of states at the Fermi level ... 3.22 states/eV per cell
Volume ... 107.1 Å³ per cell

a b c (Å): 5.140 5.140 4.054
angles (deg): 90.00 90.00 90.00
Fractional positions:
1 Si 0.000 0.000 0.000
2 P 0.000 0.500 0.500
3 P 0.500 0.000 0.500
4 Pb 0.500 0.500 0.500
5 O 0.500 0.500 0.000